(1)
LiPmSi2Pt5: optimized geometry, PBE-GGA.

POSCAR file:
```
LiPmSi2Pt5
1.0
4.1268 0.0000 0.0000
0.0000 4.1268 0.0000
0.0000 0.0000 9.1558
Li Pm Si Pt
1 1 2 5
direct
0.0000 0.0000 0.0000
0.0000 0.0000 0.5000
0.5000 0.5000 0.1273
0.5000 0.5000 0.8727
0.0000 0.5000 0.2588
0.0000 0.5000 0.7412
0.5000 0.0000 0.2588
0.5000 0.0000 0.7412
0.5000 0.5000 0.5000
```

Computed properties:
Density of states at the Fermi level ... 0.398 states/eV/atom
Total magnetic moment ... 0.000 μB/f.u.
Crystal system ... tetragonal
Energy relative to the elements, uncorrected ... -0.845 eV/atom

***

(2)
Y3Be2Ge4: optimized geometry, PBE-GGA.

POSCAR file:
```
Y3Be2Ge4
1.0
5.3715 -1.9911 0.0000
5.3715 1.9911 0.0000
-1.3607 0.0000 7.9001
Y Be Ge
3 2 4
direct
0.0000 0.0000 0.0000
0.3365 0.3365 0.3338
0.6635 0.6635 0.6662
0.3919 0.3919 0.7173
0.6081 0.6081 0.2827
0.0642 0.0642 0.3810
0.2884 0.2884 0.9317
0.7116 0.7116 0.0683
0.9358 0.9358 0.6190
```

Computed properties:
Density of states at the Fermi level ... 0.338 states/eV/atom
Total magnetic moment ... 0.000 μB/f.u.
Crystal system ... monoclinic
ΔH_f (0 K) ... -0.67 eV per atom

***

(3)
Ca3TmF8: optimized geometry, PBE-GGA.

POSCAR file:
```
Ca3TmF8
1.0
5.5609 0.0000 0.0000
0.0000 5.5609 0.0000
0.0000 0.0000 5.5609
Ca Tm F
3 1 8
direct
0.0000 0.0000 0.5000
0.0000 0.5000 0.0000
0.5000 0.0000 0.0000
0.5000 0.5000 0.5000
0.2659 0.2659 0.2659
0.2659 0.2659 0.7341
0.2659 0.7341 0.2659
0.2659 0.7341 0.7341
0.7341 0.2659 0.2659
0.7341 0.2659 0.7341
0.7341 0.7341 0.2659
0.7341 0.7341 0.7341
```

Computed properties:
Density of states at the Fermi level ... 0.096 states/eV/atom
Total magnetic moment ... 0.756 μB/f.u.
Crystal system ... cubic
Energy relative to the elements, uncorrected ... -3.769 eV/atom